(1)
A plane-wave DFT calculation with PBE was carried out for a geometry-optimized Nd12TlHg6 structure.

Cell lengths 9.2276, 9.2276, 9.2276 Å; angles 111.10, 111.10, 111.10 degrees
Last column: nearest neighbours and their distance in Å.
Element x y z (fractional)
Tl: 0.0000 0.0000 0.0000  12 Nd 3.54-3.60
Hg: 0.9258 0.4104 0.6445  7 Nd 3.18-3.54, 2 Hg 3.47
Nd: 0.2715 0.9165 0.8328  4 Hg 3.20-3.54, 5 Nd 3.32-3.55, 1 Tl 3.54
Nd: 0.8102 0.6540 0.5227  3 Hg 3.18-3.43, 4 Nd 3.32-3.51
Nd: 0.7285 0.0835 0.1672  4 Hg 3.20-3.54, 5 Nd 3.32-3.55, 1 Tl 3.54
Nd: 0.3460 0.4773 0.1898  3 Hg 3.18-3.43, 4 Nd 3.32-3.51
Nd: 0.9165 0.8328 0.2715  4 Hg 3.20-3.54, 5 Nd 3.32-3.55, 1 Tl 3.54
Nd: 0.6540 0.5227 0.8102  3 Hg 3.18-3.43, 4 Nd 3.32-3.51
Hg: 0.5896 0.3555 0.0742  7 Nd 3.18-3.54, 2 Hg 3.47
Hg: 0.0742 0.5896 0.3555  7 Nd 3.18-3.54, 2 Hg 3.47
Nd: 0.8328 0.2715 0.9165  4 Hg 3.20-3.54, 5 Nd 3.32-3.55, 1 Tl 3.54
Hg: 0.6445 0.9258 0.4104  7 Nd 3.18-3.54, 2 Hg 3.47
Nd: 0.5227 0.8102 0.6540  3 Hg 3.18-3.43, 4 Nd 3.32-3.51
Nd: 0.1898 0.3460 0.4773  3 Hg 3.18-3.43, 4 Nd 3.32-3.51
Hg: 0.3555 0.0742 0.5896  7 Nd 3.18-3.54, 2 Hg 3.47
Hg: 0.4104 0.6445 0.9258  7 Nd 3.18-3.54, 2 Hg 3.47
Nd: 0.4773 0.1898 0.3460  3 Hg 3.18-3.43, 4 Nd 3.32-3.51
Nd: 0.1672 0.7285 0.0835  4 Hg 3.20-3.54, 5 Nd 3.32-3.55, 1 Tl 3.54
Nd: 0.0835 0.1672 0.7285  4 Hg 3.20-3.54, 5 Nd 3.32-3.55, 1 Tl 3.54

Formation energy from the elements, meV per atom: -240
N(E_F), states/eV/atom: 1.210
Space-group type: R-3

=====

(2)
A plane-wave DFT calculation with PBE was carried out for a geometry-optimized Nd3TlHg5 structure.

Cell lengths 6.5675, 9.1976, 9.1976 Å; angles 120.00, 90.00, 90.00 degrees
Last column: nearest neighbours and their distance in Å.
Element x y z (fractional)
Nd: 0.7500 0.6647 0.0000  5 Hg 3.04-3.28
Hg: 0.2500 0.6655 0.0000  5 Nd 3.04-3.28
Nd: 0.7500 0.0000 0.6647  5 Hg 3.04-3.28
Hg: 0.7500 0.6655 0.6656  5 Nd 3.04-3.28
Hg: 0.2500 0.3345 0.3344  5 Nd 3.04-3.28
Tl: 0.0000 0.0000 0.0000  2 Tl 3.28, 6 Hg 3.49, 6 Nd 3.49
Nd: 0.2500 0.3353 0.0000  5 Hg 3.04-3.28
Nd: 0.2500 0.6647 0.6647  5 Hg 3.04-3.28
Hg: 0.5000 0.3333 0.6667  8 Hg 3.28-3.47, 6 Nd 3.47
Nd: 0.7500 0.3353 0.3353  5 Hg 3.04-3.28
Hg: 0.0000 0.6667 0.3333  8 Hg 3.28-3.47, 6 Nd 3.47
Hg: 0.0000 0.3333 0.6667  8 Hg 3.28-3.47, 6 Nd 3.47
Hg: 0.7500 0.3345 0.0000  5 Nd 3.04-3.28
Nd: 0.2500 0.0000 0.3353  5 Hg 3.04-3.28
Hg: 0.2500 0.0000 0.6656  5 Nd 3.04-3.28
Hg: 0.7500 0.0000 0.3344  5 Nd 3.04-3.28
Tl: 0.5000 0.0000 0.0000  2 Tl 3.28, 6 Hg 3.49, 6 Nd 3.49
Hg: 0.5000 0.6667 0.3333  8 Hg 3.28-3.47, 6 Nd 3.47

Formation energy from the elements, meV per atom: -434
N(E_F), states/eV/atom: 0.558
Space-group type: P6_3/mcm

=====

(3)
A plane-wave DFT calculation with PBE was carried out for a geometry-optimized Nd3TlHg4 structure.

Cell lengths 5.3086, 5.3086, 9.5712 Å; angles 73.90, 73.90, 60.00 degrees
Last column: nearest neighbours and their distance in Å.
Element x y z (fractional)
Nd: 0.7403 0.7403 0.7791  8 Hg 3.15-3.50
Nd: 0.5000 0.5000 0.5000  8 Hg 3.21-3.25
Hg: 0.6193 0.6193 0.1420  5 Nd 3.15-3.29, 3 Tl 3.32
Nd: 0.2597 0.2597 0.2209  8 Hg 3.15-3.50
Hg: 0.8688 0.8688 0.3936  7 Nd 3.21-3.50, 1 Tl 3.57
Tl: 0.0000 0.0000 0.0000  8 Hg 3.32-3.57, 6 Nd 3.66
Hg: 0.1312 0.1312 0.6064  7 Nd 3.21-3.50, 1 Tl 3.57
Hg: 0.3807 0.3807 0.8580  5 Nd 3.15-3.29, 3 Tl 3.32

Formation energy from the elements, meV per atom: -410
Relative energy among the computed polymorphs, eV per atom: 0.000
N(E_F), states/eV/atom: 0.833
Space-group type: R-3m

=====

(4)
A plane-wave DFT calculation with PBE was carried out for a geometry-optimized NdTlHg6 structure.

Cell lengths 5.2301, 6.8406, 6.8406 Å; angles 120.12, 90.00, 90.00 degrees
Last column: nearest neighbours and their distance in Å.
Element x y z (fractional)
Hg: 0.5000 0.4184 0.0828  8 Hg 3.24-3.46, 2 Nd 3.29, 2 Tl 3.41-3.43
Nd: 0.0000 0.0821 0.9179  12 Hg 3.28-3.42
Hg: 0.5000 0.9172 0.5816  8 Hg 3.24-3.46, 2 Nd 3.29, 2 Tl 3.41-3.43
Hg: 0.0000 0.0708 0.4119  8 Hg 3.24-3.56, 2 Tl 3.33, 2 Nd 3.42
Hg: 0.0000 0.5881 0.9292  8 Hg 3.24-3.56, 2 Tl 3.33, 2 Nd 3.42
Hg: 0.5000 0.9145 0.0855  8 Hg 3.25-3.46, 2 Nd 3.28, 2 Tl 3.41
Tl: 0.5000 0.4181 0.5819  12 Hg 3.32-3.43
Hg: 0.0000 0.5906 0.4094  8 Hg 3.25-3.56, 2 Tl 3.32, 2 Nd 3.42

Formation energy from the elements, meV per atom: -182
N(E_F), states/eV/atom: 0.634
Space-group type: Amm2

=====

(5)
A plane-wave DFT calculation with PBE was carried out for a geometry-optimized Nd12Tl5Hg2 structure.

Cell lengths 7.5900, 9.5875, 9.3765 Å; angles 84.27, 90.00, 113.32 degrees
Last column: nearest neighbours and their distance in Å.
Element x y z (fractional)
Tl: 0.3052 0.6103 0.2314  7 Nd 3.31-3.68
Nd: 0.4945 0.9890 0.6913  2 Hg 3.22, 1 Nd 3.57
Nd: 0.5954 0.6711 0.9162  1 Hg 3.14, 1 Nd 3.25, 2 Tl 3.25-3.48
Hg: 0.3177 0.0000 0.0000  1 Hg 2.77, 2 Nd 3.04
Tl: 0.7713 0.5425 0.2530  7 Nd 3.25-3.52
Nd: 0.0757 0.6711 0.9162  1 Hg 3.14, 1 Nd 3.25, 2 Tl 3.25-3.48
Nd: 0.9596 0.9192 0.1904  2 Hg 3.04, 2 Tl 3.06-3.30
Tl: 0.6948 0.3897 0.7686  7 Nd 3.31-3.68
Nd: 0.0404 0.0808 0.8096  2 Hg 3.04, 2 Tl 3.06-3.30
Nd: 0.4018 0.3002 0.4995  4 Tl 3.26-3.52, 2 Nd 3.52-3.64
Nd: 0.5055 0.0110 0.3087  2 Hg 3.22, 1 Nd 3.57
Nd: 0.1015 0.6998 0.5005  4 Tl 3.26-3.52, 2 Nd 3.52-3.64
Hg: 0.6823 0.0000 0.0000  1 Hg 2.77, 2 Nd 3.04
Nd: 0.4046 0.3289 0.0838  1 Hg 3.14, 1 Nd 3.25, 2 Tl 3.25-3.48
Tl: 0.2287 0.4575 0.7470  7 Nd 3.25-3.52
Nd: 0.9243 0.3289 0.0838  1 Hg 3.14, 1 Nd 3.25, 2 Tl 3.25-3.48
Nd: 0.5982 0.6998 0.5005  4 Tl 3.26-3.52, 2 Nd 3.52-3.64
Tl: 0.0000 0.0000 0.5000  6 Nd 3.06-3.26
Nd: 0.8985 0.3002 0.4995  4 Tl 3.26-3.52, 2 Nd 3.52-3.64

Formation energy from the elements, meV per atom: -166
N(E_F), states/eV/atom: 1.064
Space-group type: C2/m

=====

(6)
A plane-wave DFT calculation with PBE was carried out for a geometry-optimized Nd8Tl4Hg3 structure.

Cell lengths 7.6102, 9.0138, 9.0138 Å; angles 89.60, 114.75, 114.75 degrees
Last column: nearest neighbours and their distance in Å.
Element x y z (fractional)
Hg: 0.5000 0.5000 0.0000  6 Nd 3.18-3.27
Nd: 0.5161 0.2630 0.2630  3 Hg 3.11-3.18, 2 Tl 3.29-3.34
Tl: 0.0000 0.0000 0.5000  6 Nd 3.18-3.25
Nd: 0.4839 0.7370 0.7370  3 Hg 3.11-3.18, 2 Tl 3.29-3.34
Nd: 0.0000 0.7056 0.2944  2 Tl 3.25, 2 Hg 3.27
Tl: 0.5000 0.0000 0.0000  6 Nd 3.21-3.29
Nd: 0.0040 0.2612 0.2612  1 Hg 3.16, 4 Tl 3.18-3.32
Hg: 0.5000 0.5000 0.5000  6 Nd 3.11-3.16
Nd: 0.5000 0.7477 0.2523  3 Hg 3.15-3.20, 3 Tl 3.21-3.22
Nd: 0.5000 0.2523 0.7477  3 Hg 3.15-3.20, 3 Tl 3.21-3.22
Hg: 0.5000 0.0000 0.5000  6 Nd 3.18-3.27
Tl: 0.0000 0.5000 0.0000  6 Nd 3.18-3.25
Nd: 0.9960 0.7388 0.7388  1 Hg 3.16, 4 Tl 3.18-3.32
Nd: 0.0000 0.2944 0.7056  2 Tl 3.25, 2 Hg 3.27
Tl: 0.0000 0.0000 0.0000  4 Nd 3.32-3.34

Formation energy from the elements, meV per atom: -181
N(E_F), states/eV/atom: 1.441
Space-group type: C2/m